Record 1
BeCu5 | Alexandria via LeMat-Bulk | SCAN | single point on PBEsol structure; calculated formation energy = -0.25 eV per formula unit; density = 8.4 g cm⁻³; polymorph energy (0 for the lowest one) = 19 meV/atom
1.0
-2.116 -0.170 1.472
0.693 -4.018 -1.733
3.537 0.869 5.182
Be Cu
1 5
Direct
0.028 0.056 0.056
0.697 0.395 0.372
0.358 0.717 0.740
0.377 0.754 0.209
0.028 0.055 0.555
0.679 0.357 0.901


Record 2
TlSb2Pb | Alexandria via LeMat-Bulk | SCAN | single point on PBEsol structure; formation energy from raw total energies = 0.079 eV/atom; density = 9.4 g cm⁻³
1.0
-1.670 1.459 3.376
-2.586 -3.102 0.061
4.579 -3.741 3.881
Pb Sb Tl
1 2 1
Direct
0.500 0.500 0.766
0.000 0.000 0.028
0.500 0.500 0.208
0.000 0.000 0.498


Record 3
Tm5Ni2Sb | Alexandria via LeMat-Bulk | SCAN | single point on PBEsol structure; formation energy from raw total energies = -0.611 eV/atom; density = 10.1 g cm⁻³
1.0
-5.255 -4.826 -1.969
6.805 0.236 -4.829
0.717 -3.439 6.515
Tm Ni Sb
10 4 2
Direct
0.000 0.000 0.000
0.500 0.000 0.500
0.206 0.727 0.021
0.794 0.273 0.979
0.521 0.727 0.706
0.706 0.727 0.206
0.979 0.273 0.479
0.479 0.273 0.294
0.294 0.273 0.794
0.021 0.727 0.521
0.869 0.000 0.631
0.131 0.000 0.369
0.369 0.000 0.869
0.631 0.000 0.131
0.750 0.500 0.750
0.250 0.500 0.250


Record 4
LaY | Alexandria via LeMat-Bulk | SCAN | single point on PBEsol structure; calculated formation energy = 0.09 eV per formula unit; density = 5.8 g cm⁻³; polymorph energy (0 for the lowest one) = 28 meV/atom
1.0
-1.784 -2.940 -0.467
4.642 -2.499 -2.001
2.494 -0.481 6.389
Y La
2 2
Direct
0.814 0.750 0.627
0.186 0.250 0.373
0.558 0.750 0.116
0.442 0.250 0.884


Record 5
RbPbO2F | Alexandria via LeMat-Bulk | SCAN | single point on PBEsol structure; formation energy from raw total energies = -1.526 eV/atom; density = 6.9 g cm⁻³
1.0
4.231 0.000 0.000
0.000 4.231 0.000
0.000 0.000 4.626
Pb O Rb F
1 2 1 1
Direct
0.000 0.000 0.000
0.000 0.500 0.000
0.500 0.000 0.000
0.500 0.500 0.500
0.000 0.000 0.500


Record 6
ScCrNi | Alexandria via LeMat-Bulk | SCAN | single point on PBEsol structure; calculated formation energy = 0.48 eV per formula unit; density = 6.2 g cm⁻³; polymorph energy (0 for the lowest one) = 0 meV/atom
1.0
2.795 0.000 0.000
0.000 2.795 0.000
-1.397 -1.397 5.350
Cr Ni Sc
1 1 1
Direct
0.022 0.022 0.044
0.644 0.644 0.288
0.334 0.334 0.668


Record 7
MnPtS3 | Alexandria via LeMat-Bulk | SCAN | single point on PBEsol structure; formation energy from raw total energies = 0.326 eV/atom; density = 5.7 g cm⁻³
1.0
4.646 0.000 0.000
0.000 4.646 0.000
0.000 0.000 4.646
S Mn Pt
3 1 1
Direct
0.000 0.500 0.000
0.000 0.000 0.500
0.500 0.000 0.000
0.500 0.500 0.500
0.000 0.000 0.000


Record 8
AsP3Os | Alexandria via LeMat-Bulk | SCAN | single point on PBEsol structure; calculated formation energy = 4.35 eV per formula unit; density = 6.3 g cm⁻³
1.0
-1.146 3.572 2.566
-2.467 -2.718 2.680
3.641 -0.717 2.624
P As Os
3 1 1
Direct
0.000 0.500 0.000
0.000 0.000 0.500
0.500 0.000 0.000
0.500 0.500 0.500
0.000 0.000 0.000


Record 9
MnSbTe2 | Alexandria via LeMat-Bulk | SCAN | single point on PBEsol structure; formation energy from raw total energies = -0.063 eV/atom; density = 7.1 g cm⁻³
1.0
3.668 0.000 0.000
-1.834 4.699 0.161
0.000 -2.333 5.810
Mn Sb Te
1 1 2
Direct
0.534 0.069 0.376
0.822 0.644 0.382
0.980 0.960 0.052
0.164 0.328 0.690


Record 10
AsIr3Pb | Alexandria via LeMat-Bulk | SCAN | single point on PBEsol structure; calculated formation energy = 4.93 eV per formula unit; density = 14.6 g cm⁻³
1.0
4.606 0.000 0.000
0.000 4.606 0.000
0.000 0.000 4.606
Pb As Ir
1 1 3
Direct
0.500 0.500 0.500
0.000 0.000 0.000
0.000 0.500 0.000
0.000 0.000 0.500
0.500 0.000 0.000


Record 11
YHg | Alexandria via LeMat-Bulk | SCAN | single point on PBEsol structure; calculated formation energy = -0.68 eV per formula unit; density = 8.9 g cm⁻³
1.0
3.649 0.000 0.000
1.825 3.160 0.000
1.825 1.053 9.390
Hg Y
2 2
Direct
0.370 0.370 0.889
0.630 0.630 0.111
0.883 0.883 0.350
0.117 0.117 0.650


Record 12
YMn2Cr | Alexandria via LeMat-Bulk | SCAN | single point on PBEsol structure; calculated formation energy = 1.33 eV per formula unit; density = 6.3 g cm⁻³; polymorph energy (0 for the lowest one) = 131 meV/atom
1.0
3.862 0.000 0.000
-1.931 3.366 -0.348
0.000 -1.712 5.233
Cr Mn Y
1 2 1
Direct
0.696 0.392 0.088
0.990 0.980 0.970
0.312 0.623 0.937
0.502 0.005 0.505


What did the sixth record say?
ScCrNi | Alexandria via LeMat-Bulk | SCAN | single point on PBEsol structure; calculated formation energy = 0.48 eV per formula unit; density = 6.2 g cm⁻³; polymorph energy (0 for the lowest one) = 0 meV/atom
1.0
2.795 0.000 0.000
0.000 2.795 0.000
-1.397 -1.397 5.350
Cr Ni Sc
1 1 1
Direct
0.022 0.022 0.044
0.644 0.644 0.288
0.334 0.334 0.668